Entry 1:
Entry from the Alexandria database: a relaxed structure of K2Sc2S (PBE-GGA).

a b c (Å): 3.906 3.906 9.943
angles (deg): 78.67 78.67 90.00
Sites, in units of the cell vectors:
Sc 0.428 0.428 0.144
Sc 0.572 0.572 0.856
K 0.750 0.250 0.500
K 0.250 0.750 0.500
S 0.000 0.000 0.000


Entry 2:
Entry from the Alexandria database: a relaxed structure of KScS2 (PBE-GGA).

a b c (Å): 4.207 4.207 7.539
angles (deg): 90.00 90.00 120.00
Sites, in units of the cell vectors:
Sc 0.333 0.667 0.438
K 0.000 0.000 0.971
S 0.333 0.667 0.735
S 0.667 0.333 0.310


Entry 3:
Entry from the Alexandria database: a relaxed structure of K3ScS3 (PBE-GGA).

a b c (Å): 7.940 8.272 13.489
angles (deg): 90.00 90.00 101.90
Sites, in units of the cell vectors:
K 0.716 0.391 0.888
K 0.784 0.109 0.388
K 0.284 0.609 0.112
K 0.216 0.891 0.612
K 0.856 0.474 0.622
K 0.644 0.026 0.122
K 0.144 0.526 0.378
K 0.356 0.974 0.878
K 0.284 0.457 0.825
K 0.216 0.043 0.325
K 0.716 0.543 0.175
K 0.784 0.957 0.675
Sc 0.389 0.340 0.567
Sc 0.111 0.160 0.067
Sc 0.611 0.660 0.433
Sc 0.889 0.840 0.933
S 0.035 0.858 0.097
S 0.465 0.642 0.597
S 0.965 0.142 0.903
S 0.535 0.358 0.403
S 0.413 0.269 0.045
S 0.087 0.231 0.545
S 0.587 0.731 0.955
S 0.913 0.769 0.455
S 0.516 0.201 0.697
S 0.984 0.299 0.197
S 0.484 0.799 0.303
S 0.016 0.701 0.803


Entry 4:
Entry from the Alexandria database: a relaxed structure of KScS2 (PBE-GGA).

a b c (Å): 7.265 4.393 12.770
angles (deg): 90.00 90.00 90.00
Sites, in units of the cell vectors:
Sc 0.072 0.250 0.617
Sc 0.428 0.750 0.117
Sc 0.928 0.750 0.383
Sc 0.572 0.250 0.883
K 0.405 0.250 0.368
K 0.095 0.750 0.868
K 0.595 0.750 0.632
K 0.905 0.250 0.132
S 0.825 0.250 0.466
S 0.675 0.750 0.966
S 0.175 0.750 0.534
S 0.325 0.250 0.034
S 0.343 0.250 0.744
S 0.157 0.750 0.244
S 0.657 0.750 0.256
S 0.843 0.250 0.756


Entry 5:
Entry from the Alexandria database: a relaxed structure of K2Sc2S (PBE-GGA).

a b c (Å): 6.843 6.843 6.978
angles (deg): 90.00 90.00 90.00
Sites, in units of the cell vectors:
Sc 0.334 0.834 0.000
Sc 0.834 0.666 0.000
Sc 0.666 0.166 0.000
Sc 0.166 0.334 0.000
K 0.189 0.689 0.500
K 0.689 0.811 0.500
K 0.811 0.311 0.500
K 0.311 0.189 0.500
S 0.000 0.000 0.000
S 0.500 0.500 0.000


Entry 6:
Entry from the Alexandria database: a relaxed structure of KScS2 (PBE-GGA).

a b c (Å): 18.408 6.927 6.927
angles (deg): 90.02 106.08 73.92
Sites, in units of the cell vectors:
Sc 0.336 0.501 0.128
Sc 0.164 0.628 0.001
Sc 0.664 0.499 0.872
Sc 0.836 0.372 0.999
Sc 0.314 0.016 0.111
Sc 0.186 0.611 0.516
Sc 0.686 0.984 0.889
Sc 0.814 0.389 0.484
K 0.079 0.191 0.184
K 0.421 0.684 0.691
K 0.921 0.809 0.816
K 0.579 0.316 0.309
K 0.414 0.180 0.685
K 0.086 0.185 0.680
K 0.586 0.820 0.315
K 0.914 0.815 0.320
S 0.070 0.699 0.666
S 0.430 0.166 0.199
S 0.930 0.301 0.334
S 0.570 0.834 0.801
S 0.748 0.202 0.172
S 0.752 0.672 0.702
S 0.252 0.798 0.828
S 0.248 0.328 0.298
S 0.432 0.692 0.201
S 0.068 0.701 0.192
S 0.568 0.308 0.799
S 0.932 0.299 0.808
S 0.750 0.200 0.700
S 0.250 0.800 0.300
S 0.750 0.672 0.172
S 0.250 0.328 0.828


Entry 7:
Entry from the Alexandria database: a relaxed structure of KScS2 (PBE-GGA).

a b c (Å): 17.067 7.881 7.881
angles (deg): 90.00 110.30 69.70
Sites, in units of the cell vectors:
Sc 0.153 0.136 0.242
Sc 0.347 0.742 0.636
Sc 0.847 0.864 0.758
Sc 0.653 0.258 0.364
Sc 0.347 0.237 0.636
Sc 0.153 0.136 0.737
Sc 0.653 0.763 0.364
Sc 0.847 0.864 0.263
K 0.380 0.466 0.161
K 0.120 0.661 0.966
K 0.620 0.534 0.839
K 0.880 0.339 0.034
K 0.383 0.962 0.162
K 0.117 0.662 0.462
K 0.617 0.038 0.838
K 0.883 0.338 0.538
S 0.946 0.790 0.585
S 0.554 0.085 0.290
S 0.054 0.210 0.415
S 0.446 0.915 0.710
S 0.750 0.188 0.186
S 0.750 0.686 0.688
S 0.250 0.812 0.814
S 0.250 0.314 0.312
S 0.557 0.582 0.293
S 0.943 0.793 0.082
S 0.443 0.418 0.707
S 0.057 0.207 0.918
S 0.750 0.188 0.688
S 0.250 0.812 0.312
S 0.750 0.686 0.186
S 0.250 0.314 0.814


Entry 8:
Entry from the Alexandria database: a relaxed structure of KScS2 (PBE-GGA).

a b c (Å): 7.742 3.720 15.745
angles (deg): 90.00 90.00 90.00
Sites, in units of the cell vectors:
Sc 0.470 0.250 0.405
Sc 0.030 0.750 0.905
Sc 0.530 0.750 0.595
Sc 0.970 0.250 0.095
K 0.074 0.250 0.624
K 0.426 0.750 0.124
K 0.926 0.750 0.376
K 0.574 0.250 0.876
S 0.711 0.250 0.512
S 0.789 0.750 0.012
S 0.289 0.750 0.488
S 0.211 0.250 0.988
S 0.453 0.250 0.691
S 0.047 0.750 0.191
S 0.547 0.750 0.309
S 0.953 0.250 0.809


Entry 9:
Entry from the Alexandria database: a relaxed structure of KScS2 (PBE-GGA).

a b c (Å): 4.852 4.852 4.852
angles (deg): 60.00 60.00 60.00
Sites, in units of the cell vectors:
Sc 0.500 0.500 0.500
K 0.000 0.000 0.000
S 0.250 0.250 0.250
S 0.750 0.750 0.750


Entry 10:
Entry from the Alexandria database: a relaxed structure of KScS2 (PBE-GGA).

a b c (Å): 8.400 8.400 8.400
angles (deg): 29.38 29.38 29.38
Sites, in units of the cell vectors:
Sc 0.507 0.507 0.507
K 0.004 0.004 0.004
S 0.139 0.139 0.139
S 0.601 0.601 0.601


Entry 11:
Entry from the Alexandria database: a relaxed structure of KScS2 (PBE-GGA).

a b c (Å): 4.052 4.052 5.487
angles (deg): 90.00 90.00 90.00
Sites, in units of the cell vectors:
Sc 0.500 0.500 0.000
K 0.000 0.000 0.500
S 0.500 0.500 0.500
S 0.000 0.000 0.000


Entry 12:
Entry from the Alexandria database: a relaxed structure of K3ScS (PBE-GGA).

a b c (Å): 6.149 6.149 6.149
angles (deg): 90.00 90.00 90.00
Sites, in units of the cell vectors:
Sc 0.500 0.500 0.500
K 0.000 0.500 0.000
K 0.000 0.000 0.500
K 0.500 0.000 0.000
S 0.000 0.000 0.000


Number 1: V 29.2 Å³/atom, calculated total energy -3.2796 eV/atom, size of the total moment 0.000 μB/atom. Number 2: V 28.9 Å³/atom, calculated total energy -5.3675 eV/atom, size of the total moment 0.000 μB/atom. Number 3: V 31.0 Å³/atom, calculated total energy -4.5999 eV/atom, size of the total moment 0.000 μB/atom. Number 4: V 25.5 Å³/atom, calculated total energy -5.5897 eV/atom, size of the total moment 0.000 μB/atom. Number 5: V 32.7 Å³/atom, calculated total energy -4.0376 eV/atom, size of the total moment 0.000 μB/atom. Number 6: V 25.4 Å³/atom, calculated total energy -5.4460 eV/atom, size of the total moment 0.000 μB/atom. Number 7: V 28.9 Å³/atom, calculated total energy -5.5589 eV/atom, size of the total moment 0.000 μB/atom. Number 8: V 28.3 Å³/atom, calculated total energy -5.5261 eV/atom, size of the total moment 0.000 μB/atom. Number 9: V 20.2 Å³/atom, calculated total energy -5.0027 eV/atom, size of the total moment 0.000 μB/atom. Number 10: V 31.6 Å³/atom, calculated total energy -5.3425 eV/atom, size of the total moment 0.000 μB/atom. Number 11: V 22.5 Å³/atom, calculated total energy -5.1520 eV/atom, size of the total moment 0.000 μB/atom. Number 12: V 46.5 Å³/atom, calculated total energy -2.7517 eV/atom, size of the total moment 0.397 μB/atom.